[1]
Compound: Na2NpSe3
Source: OQMD via LeMat-Bulk
Functional: PBE
Structure: optimized geometry

Results
- Energy: -5.314 eV per atom

Cell and atoms, written as CIF:
```
data_Na2NpSe3
_cell_length_a 4.328
_cell_length_b 13.492
_cell_length_c 11.185
_cell_angle_alpha 90.00
_cell_angle_beta 90.00
_cell_angle_gamma 90.00
_space_group_name_H-M_alt 'C m c m'
_space_group_IT_number 63
_space_group_name_Hall '-C 2c 2'
loop_
_atom_site_label
_atom_site_type_symbol
_atom_site_fract_x
_atom_site_fract_y
_atom_site_fract_z
Na1 Na 0.000 0.052 0.250
Na2 Na 0.000 0.218 0.750
Np1 Np 0.000 0.500 0.000
Se1 Se 0.000 0.134 0.030
Se2 Se 0.000 0.430 0.250
```

---

[2]
Compound: Hf4SnAsN2
Source: OQMD via LeMat-Bulk
Functional: PBE
Structure: optimized geometry

Results
- Energy: -9.298 eV per atom

Cell and atoms, written as CIF:
```
data_Hf4SnAsN2
_cell_length_a 3.3378
_cell_length_b 3.3378
_cell_length_c 13.3013
_cell_angle_alpha 90.00
_cell_angle_beta 90.00
_cell_angle_gamma 120.00
_space_group_name_H-M_alt 'P -6 m 2'
_space_group_IT_number 187
_space_group_name_Hall 'P -6 2'
loop_
_atom_site_label
_atom_site_type_symbol
_atom_site_fract_x
_atom_site_fract_y
_atom_site_fract_z
Hf1 Hf 0.0000 0.0000 0.1424
Hf2 Hf 0.6667 0.3333 0.3239
Sn1 Sn 0.0000 0.0000 0.5000
As1 As 0.6667 0.3333 0.0000
N1 N 0.3333 0.6667 0.2342
```

---

[3]
Compound: GdIn2Cu9
Source: OQMD via LeMat-Bulk
Functional: PBE
Structure: optimized geometry

Results
- Energy: -3.767 eV per atom

Cell and atoms, written as CIF:
```
data_GdIn2Cu9
_cell_length_a 8.452
_cell_length_b 8.452
_cell_length_c 4.982
_cell_angle_alpha 90.00
_cell_angle_beta 90.00
_cell_angle_gamma 90.00
_space_group_name_H-M_alt 'P 4/m b m'
_space_group_IT_number 127
_space_group_name_Hall '-P 4 2ab'
loop_
_atom_site_label
_atom_site_type_symbol
_atom_site_fract_x
_atom_site_fract_y
_atom_site_fract_z
Gd1 Gd 0.000 0.000 0.000
In1 In 0.124 0.376 0.000
Cu1 Cu 0.000 0.500 0.500
Cu2 Cu 0.064 0.203 0.500
Cu3 Cu 0.176 0.676 0.246
```

---

[4]
Compound: Li2Mg2Zn3
Source: OQMD via LeMat-Bulk
Functional: PBE
Structure: optimized geometry

Results
- Energy: -1.635 eV per atom

Cell and atoms, written as CIF:
```
data_Li2Mg2Zn3
_cell_length_a 4.4565
_cell_length_b 4.4565
_cell_length_c 19.5207
_cell_angle_alpha 90.00
_cell_angle_beta 90.00
_cell_angle_gamma 120.00
_space_group_name_H-M_alt 'R 3 m'
_space_group_IT_number 160
_space_group_name_Hall 'R 3 -2"'
loop_
_atom_site_label
_atom_site_type_symbol
_atom_site_fract_x
_atom_site_fract_y
_atom_site_fract_z
Li1 Li 0.0000 0.0000 0.0000
Li2 Li 0.0000 0.0000 0.4453
Mg1 Mg 0.0000 0.0000 0.1613
Mg2 Mg 0.0000 0.0000 0.7238
Zn1 Zn 0.0000 0.0000 0.3074
Zn2 Zn 0.0000 0.0000 0.5828
Zn3 Zn 0.0000 0.0000 0.8685
```

---

[5]
Compound: Tm2Lu5Ni2S2
Source: OQMD via LeMat-Bulk
Functional: PBE
Structure: optimized geometry

Results
- Energy: -5.502 eV per atom

Cell and atoms, written as CIF:
```
data_Tm2Lu5Ni2S2
_cell_length_a 3.687
_cell_length_b 14.496
_cell_length_c 9.033
_cell_angle_alpha 90.00
_cell_angle_beta 90.00
_cell_angle_gamma 90.00
_space_group_name_H-M_alt 'I m m 2'
_space_group_IT_number 44
loop_
_space_group_symop_operation_xyz
'x,y,z'
'-x,-y,z'
'-x,y,z'
'x,-y,z'
'x+1/2,y+1/2,z+1/2'
'-x+1/2,-y+1/2,z+1/2'
'-x+1/2,y+1/2,z+1/2'
'x+1/2,-y+1/2,z+1/2'
loop_
_atom_site_label
_atom_site_type_symbol
_atom_site_fract_x
_atom_site_fract_y
_atom_site_fract_z
Tm1 Tm 0.000 0.121 0.000
Lu1 Lu 0.000 0.000 0.400
Lu2 Lu 0.000 0.314 0.792
Lu3 Lu 0.000 0.366 0.151
Ni1 Ni 0.000 0.238 0.491
S1 S 0.000 0.000 0.751
S2 S 0.000 0.500 0.657
```

---

[6]
Compound: Pr2CuSi2Au
Source: OQMD via LeMat-Bulk
Functional: PBE
Structure: optimized geometry

Results
- Energy: -5.260 eV per atom

Cell and atoms, written as CIF:
```
data_Pr2CuSi2Au
_cell_length_a 4.2913
_cell_length_b 4.2913
_cell_length_c 8.2610
_cell_angle_alpha 90.00
_cell_angle_beta 90.00
_cell_angle_gamma 120.00
_space_group_name_H-M_alt 'P -6 m 2'
_space_group_IT_number 187
_space_group_name_Hall 'P -6 2'
loop_
_atom_site_label
_atom_site_type_symbol
_atom_site_fract_x
_atom_site_fract_y
_atom_site_fract_z
Pr1 Pr 0.0000 0.0000 0.2425
Cu1 Cu 0.3333 0.6667 0.0000
Si1 Si 0.3333 0.6667 0.5000
Si2 Si 0.6667 0.3333 0.0000
Au1 Au 0.6667 0.3333 0.5000
```

---

[7]
Compound: LuNbGaFe
Source: OQMD via LeMat-Bulk
Functional: PBE
Structure: optimized geometry

Results
- Energy: -6.355 eV per atom
- Distance to the lowest polymorph of the same formula: 0.000 eV per atom

Cell and atoms, written as CIF:
```
data_LuNbGaFe
_cell_length_a 6.420
_cell_length_b 6.420
_cell_length_c 6.420
_cell_angle_alpha 90.00
_cell_angle_beta 90.00
_cell_angle_gamma 90.00
_space_group_name_H-M_alt 'F -4 3 m'
_space_group_IT_number 216
_space_group_name_Hall 'F -4 2 3'
loop_
_atom_site_label
_atom_site_type_symbol
_atom_site_fract_x
_atom_site_fract_y
_atom_site_fract_z
Lu1 Lu 0.000 0.000 0.000
Nb1 Nb 0.250 0.250 0.750
Ga1 Ga 0.250 0.250 0.250
Fe1 Fe 0.000 0.000 0.500
```

---

[8]
Compound: TmScBe
Source: OQMD via LeMat-Bulk
Functional: PBE
Structure: optimized geometry

Results
- Energy: -3.857 eV per atom
- Distance to the lowest polymorph of the same formula: 0.076 eV per atom

Cell and atoms, written as CIF:
```
data_TmScBe
_cell_length_a 6.499
_cell_length_b 6.499
_cell_length_c 6.499
_cell_angle_alpha 90.00
_cell_angle_beta 90.00
_cell_angle_gamma 90.00
_space_group_name_H-M_alt 'F -4 3 m'
_space_group_IT_number 216
_space_group_name_Hall 'F -4 2 3'
loop_
_atom_site_label
_atom_site_type_symbol
_atom_site_fract_x
_atom_site_fract_y
_atom_site_fract_z
Tm1 Tm 0.000 0.000 0.000
Sc1 Sc 0.250 0.250 0.250
Be1 Be 0.250 0.250 0.750
```